# 1
! TiTlS2 (PBE, optimized geometry); values from VASP
&SYSTEM
  ibrav = 0, nat = 4, ntyp = 3
/
ATOMIC_SPECIES
Ti 47.87 Ti.upf
Tl 204.38 Tl.upf
S 32.06 S.upf
CELL_PARAMETERS angstrom
0.000 3.362 3.362
3.362 0.000 3.362
3.362 3.362 0.000
ATOMIC_POSITIONS crystal
Ti 0.000 0.000 0.000
Tl 0.500 0.500 0.500
S 0.250 0.250 0.250
S 0.750 0.750 0.750
! uncorrected formation energy: -0.236 eV/atom
! crystal system: cubic
! density of states at the Fermi level: 6.202 states/eV/cell



# 2
! TiTlS2 (PBE, optimized geometry); values from VASP
&SYSTEM
  ibrav = 0, nat = 4, ntyp = 3
/
ATOMIC_SPECIES
Ti 47.87 Ti.upf
Tl 204.38 Tl.upf
S 32.06 S.upf
CELL_PARAMETERS angstrom
3.921 0.000 0.000
-1.960 3.395 0.000
0.000 0.000 8.050
ATOMIC_POSITIONS crystal
Ti 0.000 0.000 0.000
Tl 0.667 0.333 0.500
S 0.000 0.000 0.278
S 0.333 0.667 0.896
! uncorrected formation energy: -0.769 eV/atom
! crystal system: trigonal
! density of states at the Fermi level: 4.860 states/eV/cell



# 3
! Ti3TlS6 (PBE, optimized geometry); values from VASP
&SYSTEM
  ibrav = 0, nat = 20, ntyp = 3
/
ATOMIC_SPECIES
Ti 47.87 Ti.upf
Tl 204.38 Tl.upf
S 32.06 S.upf
CELL_PARAMETERS angstrom
11.086 0.000 0.000
0.000 3.428 0.000
-3.126 0.000 10.642
ATOMIC_POSITIONS crystal
Ti 0.034 0.250 0.155
Ti 0.196 0.250 0.764
Ti 0.352 0.750 0.465
Ti 0.648 0.250 0.535
Ti 0.804 0.750 0.236
Ti 0.966 0.750 0.845
Tl 0.398 0.750 0.123
Tl 0.602 0.250 0.877
S 0.044 0.750 0.667
S 0.121 0.250 0.957
S 0.182 0.750 0.253
S 0.260 0.250 0.560
S 0.347 0.750 0.843
S 0.452 0.250 0.367
S 0.548 0.750 0.633
S 0.653 0.250 0.157
S 0.740 0.750 0.440
S 0.818 0.250 0.747
S 0.879 0.750 0.043
S 0.956 0.250 0.333
! uncorrected formation energy: -1.147 eV/atom
! crystal system: monoclinic
! density of states at the Fermi level: 7.318 states/eV/cell



# 4
! TiTlS2 (PBE, optimized geometry); values from VASP
&SYSTEM
  ibrav = 0, nat = 8, ntyp = 3
/
ATOMIC_SPECIES
Ti 47.87 Ti.upf
Tl 204.38 Tl.upf
S 32.06 S.upf
CELL_PARAMETERS angstrom
-2.825 2.825 5.645
2.825 -2.825 5.645
2.825 2.825 -5.645
ATOMIC_POSITIONS crystal
Ti 0.375 0.625 0.750
Ti 0.625 0.375 0.250
Tl 0.125 0.875 0.250
Tl 0.875 0.125 0.750
S 0.163 0.413 0.750
S 0.413 0.163 0.250
S 0.587 0.837 0.750
S 0.837 0.587 0.250
! uncorrected formation energy: -0.617 eV/atom
! crystal system: tetragonal
! density of states at the Fermi level: 3.768 states/eV/cell



> Look up the density of states at the Fermi level of the second one.

4.860 states/eV/cell